1.
Below is an optimized crystal structure of NaBeGeAu3, with properties calculated at the GGA-PBE level.

```
NaBeGeAu3
1.0
-1.687 -4.765 -5.554
3.373 -3.918 2.337
-6.176 -0.059 1.926
Au Ge Na Be
6 2 2 2
Cartesian
0.831 -0.965 0.576 Au
2.543 -2.954 1.762 Au
1.699 -5.336 -1.015 Au
-0.013 -3.347 -2.201 Au
-2.040 -1.919 -0.273 Au
-2.450 -6.824 -1.017 Au
-3.971 -2.787 1.058 Ge
-0.519 -5.956 -2.348 Ge
-3.829 -4.726 -2.398 Na
-0.661 -4.016 1.108 Na
-3.025 -5.079 2.738 Be
-1.464 -3.663 -4.028 Be
```

Crystal system ... orthorhombic
Energy of formation ... -0.109 eV per atom
SG ... Cmcm (63)
Theoretical density ... 9.32 g/cm3


2.
Below is an optimized crystal structure of Li4Ca3Zn4, with properties calculated at the GGA-PBE level.

```
Li4Ca3Zn4
1.0
4.483 0.000 -1.115
-0.870 6.195 -3.499
-0.253 0.646 8.550
Li Zn Ca
4 4 3
Cartesian
0.849 3.657 3.412 Li
2.510 3.184 0.524 Li
1.187 1.250 4.772 Li
2.172 5.591 -0.836 Li
1.526 5.091 -3.433 Zn
0.234 4.710 0.939 Zn
3.125 2.131 2.996 Zn
2.086 1.104 -1.181 Zn
0.392 0.945 1.575 Ca
-0.435 3.097 -1.749 Ca
2.967 5.896 2.360 Ca
```

E above lowest polymorph ... 0 meV per atom
Crystal system ... orthorhombic
Energy of formation ... -0.146 eV per atom
SG ... Immm (71)
Theoretical density ... 2.76 g/cm3


3.
Below is an optimized crystal structure of LaPu2Zn, with properties calculated at the GGA-PBE level.

```
LaPu2Zn
1.0
-4.858 -0.429 -1.497
1.375 -1.654 -3.988
-0.150 -4.201 1.690
Pu Zn La
2 1 1
Cartesian
0.687 -0.827 -1.994 Pu
-0.075 -2.101 0.845 Pu
-1.816 -3.142 -1.897 Zn
-2.429 -0.214 -0.748 La
```

E above lowest polymorph ... 0 meV per atom
Crystal system ... tetragonal
Energy of formation ... 0.062 eV per atom
SG ... P4/mmm (123)
Theoretical density ... 10.98 g/cm3


4.
Below is an optimized crystal structure of Cs12InAu5, with properties calculated at the GGA-PBE level.

```
Cs12InAu5
1.0
10.239 0.049 -4.239
-5.160 9.294 -3.131
-0.316 -0.049 11.077
In Au Cs
1 5 12
Cartesian
-2.738 4.622 3.973 In
1.670 3.072 -2.423 Au
3.409 6.271 -4.946 Au
4.356 1.023 4.298 Au
0.407 8.271 -0.591 Au
0.000 0.000 0.000 Au
-3.184 7.670 0.120 Cs
-0.347 3.809 0.504 Cs
1.022 7.670 3.018 Cs
8.065 0.497 -1.084 Cs
1.348 3.151 4.924 Cs
5.158 3.200 -3.746 Cs
3.415 6.143 -1.216 Cs
-3.302 8.797 4.791 Cs
-0.395 6.094 7.453 Cs
3.741 1.624 0.689 Cs
5.110 5.485 3.203 Cs
7.947 1.624 3.588 Cs
```

Crystal system ... orthorhombic
Energy of formation ... -0.178 eV per atom
SG ... Immm (71)
Theoretical density ... 4.29 g/cm3


5.
Below is an optimized crystal structure of Sc4GaPdRh2, with properties calculated at the GGA-PBE level.

```
Sc4GaPdRh2
1.0
4.634 0.000 0.000
2.317 4.013 0.000
2.317 1.338 7.632
Pd Sc Rh Ga
1 4 2 1
Cartesian
4.634 2.675 3.816 Pd
2.317 1.338 4.745 Sc
4.634 2.675 6.638 Sc
6.951 4.013 2.887 Sc
4.634 2.675 0.994 Sc
6.951 4.013 5.722 Rh
2.317 1.338 1.910 Rh
0.000 0.000 0.000 Ga
```

Crystal system ... trigonal
Energy of formation ... -0.860 eV per atom
SG ... R-3m (166)
Theoretical density ... 6.57 g/cm3


6.
Below is an optimized crystal structure of CoPbCl2, with properties calculated at the GGA-PBE level.

```
CoPbCl2
1.0
5.001 0.195 0.468
-2.192 4.507 0.543
0.616 1.918 4.597
Cl Co Pb
2 1 1
Cartesian
0.000 0.000 0.000 Cl
2.809 1.057 2.533 Cl
-0.788 3.213 2.570 Co
1.404 2.351 0.506 Pb
```

E above lowest polymorph ... 459 meV per atom
Crystal system ... orthorhombic
Formation energy without anion corrections ... 6 kJ per mole of atoms
SG ... Fmmm (69)
Theoretical density ... 5.76 g/cm3


7.
Below is an optimized crystal structure of NdDy3Tm2Se6, with properties calculated at the GGA-PBE level.

```
NdDy3Tm2Se6
1.0
7.080 -0.016 0.001
-3.552 6.125 0.001
-1.177 -2.037 6.661
Dy Tm Se Nd
3 2 6 1
Cartesian
1.176 2.036 3.331 Dy
-2.471 4.142 3.331 Dy
4.823 -0.070 3.331 Dy
3.521 2.040 0.001 Tm
0.007 4.069 0.001 Tm
3.590 1.948 4.976 Se
-0.107 4.083 4.976 Se
0.046 0.079 5.025 Se
2.459 -0.010 1.686 Se
2.306 3.993 1.637 Se
-1.238 2.125 1.686 Se
0.000 0.000 0.000 Nd
```

Crystal system ... monoclinic
Formation energy without anion corrections ... -167 kJ per mole of atoms
SG ... C2/m (12)
Theoretical density ... 8.31 g/cm3


8.
Below is an optimized crystal structure of Nd6PaS8, with properties calculated at the GGA-PBE level.

```
Nd6PaS8
1.0
0.328 -7.949 1.561
6.212 -4.420 -2.759
5.533 -2.890 5.174
S Nd Pa
8 6 1
Cartesian
6.126 -5.982 -0.448 S
8.966 -7.465 2.208 S
3.107 -7.793 1.769 S
3.018 -3.815 0.994 S
9.055 -11.444 2.983 S
5.946 -9.276 4.425 S
6.295 -10.062 0.354 S
5.778 -5.197 3.623 S
0.164 -3.974 0.781 Nd
3.106 -2.210 -1.379 Nd
2.930 -5.419 3.368 Nd
3.270 -6.184 -0.599 Nd
5.872 -3.655 1.208 Nd
2.766 -1.445 2.587 Nd
0.000 0.000 0.000 Pa
```

Crystal system ... cubic
Formation energy without anion corrections ... -187 kJ per mole of atoms
SG ... Fm-3m (225)
Theoretical density ... 5.96 g/cm3


9.
Below is an optimized crystal structure of AgBi2IO6, with properties calculated at the GGA-PBE level.

```
AgBi2IO6
1.0
5.945 0.000 -0.001
-2.973 5.148 0.000
-2.971 -1.715 5.906
O I Bi Ag
6 1 2 1
Cartesian
-1.863 -0.282 3.821 O
-0.858 1.430 0.954 O
-1.708 3.670 3.821 O
0.736 1.829 3.821 O
2.250 3.685 0.952 O
1.715 0.101 0.954 O
0.045 0.023 0.147 I
0.046 0.023 4.818 Bi
0.046 3.455 2.487 Bi
-2.927 1.739 3.630 Ag
```

Crystal system ... trigonal
Formation energy without anion corrections ... -67 kJ per mole of atoms
SG ... R3 (146)
Theoretical density ... 6.88 g/cm3


10.
Below is an optimized crystal structure of La6PmEr2Tm, with properties calculated at the GGA-PBE level.

```
La6PmEr2Tm
1.0
-4.222 8.005 -1.781
-8.084 -3.674 1.916
4.115 3.912 7.091
La Er Pm Tm
12 4 2 2
Cartesian
2.279 3.616 5.508 La
-7.138 4.965 -0.294 La
-5.205 2.284 2.329 La
-8.494 3.965 4.368 La
-8.595 2.169 0.899 La
-2.987 5.958 4.897 La
0.303 4.277 2.858 La
-4.445 -0.264 4.274 La
-10.471 4.627 1.718 La
-3.747 8.507 2.953 La
-1.054 3.277 7.520 La
0.403 6.074 6.327 La
-1.841 0.243 1.920 Er
-5.357 3.302 5.723 Er
-2.835 4.940 1.504 Er
-6.350 8.000 5.306 Er
0.046 9.354 5.373 Pm
-8.237 -1.112 1.853 Pm
-2.282 2.591 4.380 Tm
-5.909 5.651 2.846 Tm
```

Crystal system ... monoclinic
Energy of formation ... 0.113 eV per atom
SG ... C2/c (15)
Theoretical density ... 7.10 g/cm3


11.
Below is an optimized crystal structure of PmSm2PbN, with properties calculated at the GGA-PBE level.

```
PmSm2PbN
1.0
4.993 0.000 0.000
0.000 4.961 0.000
0.000 0.000 4.961
Sm N Pb Pm
2 1 1 1
Cartesian
0.000 2.480 0.000 Sm
0.000 0.000 2.480 Sm
0.000 0.000 0.000 N
2.496 2.480 2.480 Pb
2.496 0.000 0.000 Pm
```

Crystal system ... tetragonal
Formation energy without anion corrections ... -88 kJ per mole of atoms
SG ... P4/mmm (123)
Theoretical density ... 9.01 g/cm3


12.
Below is an optimized crystal structure of Sr6TlN2, with properties calculated at the GGA-PBE level.

```
Sr6TlN2
1.0
-4.563 -2.876 0.696
2.878 -0.995 -6.492
4.173 -4.860 7.286
Sr N Tl
6 2 1
Cartesian
0.750 -0.932 1.066 Sr
1.948 -3.409 -1.313 Sr
-1.751 -2.757 -1.626 Sr
4.239 -5.973 3.116 Sr
0.540 -5.321 2.803 Sr
1.738 -7.799 0.424 Sr
1.929 -7.465 3.051 N
0.559 -1.265 -1.560 N
2.087 -2.430 3.643 Tl
```

Crystal system ... monoclinic
Formation energy without anion corrections ... -38 kJ per mole of atoms
SG ... C2/m (12)
Theoretical density ... 4.08 g/cm3


13.
Below is an optimized crystal structure of SrMnOs2, with properties calculated at the GGA-PBE level.

```
SrMnOs2
1.0
-2.929 8.585 4.106
-5.292 8.041 2.546
-5.000 6.885 5.172
Os Mn Sr
2 1 1
Cartesian
-3.471 6.172 3.104 Os
-13.205 23.482 11.810 Os
-9.737 17.316 8.708 Mn
-6.639 11.806 5.938 Sr
```

E above lowest polymorph ... 635 meV per atom
Crystal system ... trigonal
Energy of formation ... 0.914 eV per atom
SG ... R3m (160)
Theoretical density ... 12.28 g/cm3


14.
Below is an optimized crystal structure of BaTePO2, with properties calculated at the GGA-PBE level.

```
BaTePO2
1.0
-1.035 3.042 -2.961
-4.181 -0.203 1.252
1.262 5.381 5.087
Te Ba P O
1 1 1 2
Cartesian
-1.977 4.110 1.689 Te
0.000 0.000 0.000 Ba
0.631 2.690 2.544 P
-0.517 1.521 -1.480 O
-2.091 -0.102 0.626 O
```

E above lowest polymorph ... 974 meV per atom
Crystal system ... tetragonal
Formation energy without anion corrections ... 9 kJ per mole of atoms
SG ... P4/mmm (123)
Theoretical density ... 3.80 g/cm3


15.
Below is an optimized crystal structure of SmYCoRh, with properties calculated at the GGA-PBE level.

```
SmYCoRh
1.0
4.858 0.000 0.000
2.429 4.207 0.000
2.429 1.402 3.967
Sm Rh Co Y
1 1 1 1
Cartesian
0.000 0.000 0.000 Sm
2.429 1.402 0.992 Rh
7.287 4.207 2.975 Co
4.858 2.805 1.983 Y
```

Crystal system ... cubic
Energy of formation ... -0.411 eV per atom
SG ... F-43m (216)
Theoretical density ... 8.21 g/cm3


16.
Below is an optimized crystal structure of Li3Tl2Cd3, with properties calculated at the GGA-PBE level.

```
Li3Tl2Cd3
1.0
-0.586 3.531 -2.875
-4.525 0.229 1.203
4.329 3.349 6.898
Cd Li Tl
3 3 2
Cartesian
-0.904 4.168 5.304 Cd
-2.555 1.880 -0.836 Cd
0.122 2.941 -0.078 Cd
1.048 5.744 3.176 Li
0.000 0.000 0.000 Li
-1.829 1.366 2.050 Li
0.870 2.585 2.997 Tl
-1.652 4.525 2.228 Tl
```

E above lowest polymorph ... 24 meV per atom
Crystal system ... monoclinic
Energy of formation ... -0.137 eV per atom
SG ... C2/m (12)
Theoretical density ... 7.22 g/cm3


17.
Below is an optimized crystal structure of La2BeAg, with properties calculated at the GGA-PBE level.

```
La2BeAg
1.0
4.401 -0.018 0.002
2.939 3.276 0.002
1.375 0.610 7.818
La Be Ag
2 1 1
Cartesian
7.296 3.238 0.239 La
4.402 1.954 3.676 La
2.179 0.967 1.956 Be
6.536 2.901 5.867 Ag
```

Crystal system ... monoclinic
Energy of formation ... 0.227 eV per atom
SG ... C2/m (12)
Theoretical density ... 5.79 g/cm3


18.
Below is an optimized crystal structure of Pu3Ga2Hg, with properties calculated at the GGA-PBE level.

```
Pu3Ga2Hg
1.0
-2.436 0.938 -0.045
-0.877 -2.226 1.044
1.997 5.871 14.199
Ga Pu Hg
2 3 1
Cartesian
-1.338 0.292 2.764 Ga
0.022 4.291 12.433 Ga
1.364 4.010 9.696 Pu
0.633 1.862 4.502 Pu
0.000 0.000 0.000 Pu
-0.658 2.292 7.599 Hg
```

Crystal system ... tetragonal
Energy of formation ... 0.320 eV per atom
SG ... P4/mmm (123)
Theoretical density ... 16.86 g/cm3


19.
Below is an optimized crystal structure of LaMg3Al8, with properties calculated at the GGA-PBE level.

```
LaMg3Al8
1.0
5.563 0.000 0.000
-2.782 4.818 0.000
0.000 0.000 8.880
Al La Mg
8 1 3
Cartesian
4.142 2.391 6.705 Al
0.000 3.212 4.440 Al
2.782 0.035 6.705 Al
1.423 4.034 2.177 Al
-1.423 4.034 2.177 Al
1.421 2.391 6.705 Al
0.000 3.212 0.059 Al
0.000 1.568 2.177 Al
0.000 0.000 5.010 La
0.000 0.000 8.374 Mg
2.782 1.606 0.549 Mg
2.782 1.606 3.762 Mg
```

Crystal system ... trigonal
Energy of formation ... -0.145 eV per atom
SG ... P3m1 (156)
Theoretical density ... 2.98 g/cm3


20.
Below is an optimized crystal structure of CrCoGe3, with properties calculated at the GGA-PBE level.

```
CrCoGe3
1.0
4.533 0.000 0.000
0.000 4.533 0.000
0.000 0.000 4.533
Co Ge Cr
1 3 1
Cartesian
0.000 0.000 0.000 Co
0.000 0.000 2.266 Ge
0.000 2.266 0.000 Ge
2.266 0.000 0.000 Ge
2.266 2.266 2.266 Cr
```

E above lowest polymorph ... 0 meV per atom
Crystal system ... cubic
Energy of formation ... 0.475 eV per atom
SG ... Pm-3m (221)
Theoretical density ... 5.86 g/cm3


21.
Below is an optimized crystal structure of Sm2NpNi9, with properties calculated at the GGA-PBE level.

```
Sm2NpNi9
1.0
4.764 0.000 1.418
2.171 4.241 1.418
0.001 0.001 8.710
Sm Ni Np
2 9 1
Cartesian
0.960 0.587 5.488 Sm
5.977 3.655 6.058 Sm
2.942 0.345 7.540 Ni
2.910 1.780 3.298 Ni
2.309 1.412 0.956 Ni
4.027 2.462 8.248 Ni
3.468 2.121 5.773 Ni
3.994 3.897 4.006 Ni
1.648 2.462 7.540 Ni
4.628 2.830 10.590 Ni
5.289 1.780 4.006 Ni
0.000 0.000 0.000 Np
```

Crystal system ... trigonal
Energy of formation ... -0.249 eV per atom
SG ... R-3m (166)
Theoretical density ... 10.06 g/cm3


22.
Below is an optimized crystal structure of TiReC2, with properties calculated at the GGA-PBE level.

```
TiReC2
1.0
4.643 0.000 0.000
0.000 4.643 0.000
2.321 2.321 4.759
Re C Ti
2 4 2
Cartesian
0.000 0.000 0.000 Re
4.643 2.321 2.379 Re
3.572 1.161 1.190 C
1.071 3.482 1.190 C
3.482 3.392 3.569 C
5.804 5.893 3.569 C
2.321 2.321 0.000 Ti
2.321 4.643 2.379 Ti
```

E above lowest polymorph ... 0 meV per atom
Crystal system ... tetragonal
Energy of formation ... 0.195 eV per atom
SG ... I-42d (122)
Theoretical density ... 8.36 g/cm3


23.
Below is an optimized crystal structure of KLi2Y, with properties calculated at the GGA-PBE level.

```
KLi2Y
1.0
-5.365 1.633 3.390
-5.480 -1.748 3.139
1.635 -0.493 5.884
Y Li K
1 2 1
Cartesian
-4.243 -0.337 6.474 Y
-0.278 -0.016 0.343 Li
-6.655 -0.436 8.917 Li
-2.639 -0.125 2.886 K
```

Crystal system ... monoclinic
Energy of formation ... 0.304 eV per atom
SG ... Cm (8)
Theoretical density ... 1.86 g/cm3